# Y4ErTm8 GGA-PBE optimized geometry
# M_tot (μB per cell): 0.000
# Formation enthalpy at 0 K (eV per atom): 0.2339
# Density of states at the Fermi level (states/eV per atom): 1.57
# Calculated volume (Å³ per cell): 1221.2
data_Y4ErTm8
_chemical_formula_sum 'Y12 Er3 Tm24'
_cell_length_a 7.2671
_cell_length_b 7.2671
_cell_length_c 26.7005
_cell_angle_alpha 90.00
_cell_angle_beta 90.00
_cell_angle_gamma 120.00
_space_group_name_H-M_alt 'R -3 m'
_space_group_IT_number 166
_space_group_name_Hall '-R 3 2"'
loop_
_atom_site_label
_atom_site_type_symbol
_atom_site_fract_x
_atom_site_fract_y
_atom_site_fract_z
Y1 Y 0.0000 0.0000 0.0000
Y2 Y 0.0000 0.5000 0.0000
Er1 Er 0.0000 0.0000 0.5000
Tm1 Tm 0.0000 0.0000 0.2168
Tm2 Tm 0.0387 0.5193 0.7693

***

# YEr4Tm GGA-PBE optimized geometry
# M_tot (μB per cell): 0.000
# Energy above the lowest structure with this stoichiometry (meV/atom): 0
# Formation enthalpy at 0 K (eV per atom): 0.0253
# Density of states at the Fermi level (states/eV per atom): 1.49
# Calculated volume (Å³ per cell): 184.0
data_YEr4Tm
_chemical_formula_sum 'Y1 Er4 Tm1'
_cell_length_a 3.513
_cell_length_b 4.971
_cell_length_c 10.538
_cell_angle_alpha 90.01
_cell_angle_beta 90.22
_cell_angle_gamma 90.11
_space_group_name_H-M_alt 'P -1'
_space_group_IT_number 2
_space_group_name_Hall '-P 1'
loop_
_atom_site_label
_atom_site_type_symbol
_atom_site_fract_x
_atom_site_fract_y
_atom_site_fract_z
Y1 Y 0.000 0.000 0.000
Er1 Er 0.000 0.000 0.335
Er2 Er 0.500 0.500 0.169
Tm1 Tm 0.500 0.500 0.500

***

# YErTm4 GGA-PBE optimized geometry
# M_tot (μB per cell): 0.005
# Energy above the lowest structure with this stoichiometry (meV/atom): 120
# Formation enthalpy at 0 K (eV per atom): 0.1462
# Density of states at the Fermi level (states/eV per atom): 1.68
# Calculated volume (Å³ per cell): 752.1
data_YErTm4
_chemical_formula_sum 'Y4 Er4 Tm16'
_cell_length_a 8.670
_cell_length_b 14.472
_cell_length_c 6.374
_cell_angle_alpha 90.00
_cell_angle_beta 109.89
_cell_angle_gamma 90.00
_space_group_name_H-M_alt 'C 1 2/c 1'
_space_group_IT_number 15
_space_group_name_Hall '-C 2yc'
loop_
_atom_site_label
_atom_site_type_symbol
_atom_site_fract_x
_atom_site_fract_y
_atom_site_fract_z
Y1 Y 0.000 0.086 0.250
Er1 Er 0.000 0.499 0.750
Tm1 Tm 0.094 0.305 0.533
Tm2 Tm 0.205 0.131 0.878

***

# Y5Er6Tm GGA-PBE optimized geometry
# M_tot (μB per cell): 0.002
# Formation enthalpy at 0 K (eV per atom): 0.0264
# Density of states at the Fermi level (states/eV per atom): 1.48
# Calculated volume (Å³ per cell): 747.4
data_Y5Er6Tm
_chemical_formula_sum 'Y10 Er12 Tm2'
_cell_length_a 6.120
_cell_length_b 10.587
_cell_length_c 11.714
_cell_angle_alpha 90.00
_cell_angle_beta 100.00
_cell_angle_gamma 90.00
_space_group_name_H-M_alt 'C 1 2/m 1'
_space_group_IT_number 12
_space_group_name_Hall '-C 2y'
loop_
_atom_site_label
_atom_site_type_symbol
_atom_site_fract_x
_atom_site_fract_y
_atom_site_fract_z
Y1 Y 0.000 0.000 0.000
Y2 Y 0.000 0.167 0.500
Y3 Y 0.000 0.333 0.000
Er1 Er 0.249 0.334 0.749
Er2 Er 0.250 0.000 0.749
Tm1 Tm 0.000 0.500 0.500

***

# Y4Er5Tm2 GGA-PBE optimized geometry
# M_tot (μB per cell): 0.001
# Energy above the lowest structure with this stoichiometry (meV/atom): 0
# Formation enthalpy at 0 K (eV per atom): 0.1065
# Density of states at the Fermi level (states/eV per atom): 2.11
# Calculated volume (Å³ per cell): 690.8
data_Y4Er5Tm2
_chemical_formula_sum 'Y8 Er10 Tm4'
_cell_length_a 16.390
_cell_length_b 5.583
_cell_length_c 9.045
_cell_angle_alpha 90.00
_cell_angle_beta 123.43
_cell_angle_gamma 90.00
_space_group_name_H-M_alt 'C 1 2/m 1'
_space_group_IT_number 12
_space_group_name_Hall '-C 2y'
loop_
_atom_site_label
_atom_site_type_symbol
_atom_site_fract_x
_atom_site_fract_y
_atom_site_fract_z
Y1 Y 0.042 0.000 0.228
Y2 Y 0.190 0.500 0.466
Er1 Er 0.000 0.500 0.500
Er2 Er 0.147 0.000 0.668
Er3 Er 0.234 0.000 0.101
Tm1 Tm 0.101 0.500 0.013

***

# YEr2Tm5 GGA-PBE optimized geometry
# M_tot (μB per cell): 0.001
# Energy above the lowest structure with this stoichiometry (meV/atom): 0
# Formation enthalpy at 0 K (eV per atom): 0.0247
# Density of states at the Fermi level (states/eV per atom): 1.27
# Calculated volume (Å³ per cell): 485.2
data_YEr2Tm5
_chemical_formula_sum 'Y2 Er4 Tm10'
_cell_length_a 7.002
_cell_length_b 14.007
_cell_length_c 4.946
_cell_angle_alpha 90.00
_cell_angle_beta 90.00
_cell_angle_gamma 90.00
_space_group_name_H-M_alt 'P b a m'
_space_group_IT_number 55
_space_group_name_Hall '-P 2 2ab'
loop_
_atom_site_label
_atom_site_type_symbol
_atom_site_fract_x
_atom_site_fract_y
_atom_site_fract_z
Y1 Y 0.000 0.000 0.000
Er1 Er 0.250 0.126 0.500
Tm1 Tm 0.000 0.251 0.000
Tm2 Tm 0.000 0.500 0.000
Tm3 Tm 0.249 0.374 0.500

***

# Y3Er7Tm2 GGA-PBE optimized geometry
# M_tot (μB per cell): 0.015
# Energy above the lowest structure with this stoichiometry (meV/atom): 171
# Formation enthalpy at 0 K (eV per atom): 0.2787
# Density of states at the Fermi level (states/eV per atom): 1.69
# Calculated volume (Å³ per cell): 1183.3
data_Y3Er7Tm2
_chemical_formula_sum 'Y9 Er21 Tm6'
_cell_length_a 6.4552
_cell_length_b 6.4552
_cell_length_c 32.7920
_cell_angle_alpha 90.00
_cell_angle_beta 90.00
_cell_angle_gamma 120.00
_space_group_name_H-M_alt 'R -3 m'
_space_group_IT_number 166
_space_group_name_Hall '-R 3 2"'
loop_
_atom_site_label
_atom_site_type_symbol
_atom_site_fract_x
_atom_site_fract_y
_atom_site_fract_z
Y1 Y 0.0000 0.0000 0.0000
Y2 Y 0.0000 0.0000 0.1512
Er1 Er 0.0000 0.0000 0.5000
Er2 Er 0.0035 0.5017 0.9153
Tm1 Tm 0.0000 0.0000 0.3333

***

# Y7Er12Tm GGA-PBE optimized geometry
# M_tot (μB per cell): 0.005
# Energy above the lowest structure with this stoichiometry (meV/atom): 523
# Formation enthalpy at 0 K (eV per atom): 0.7559
# Density of states at the Fermi level (states/eV per atom): 1.21
# Calculated volume (Å³ per cell): 1421.2
data_Y7Er12Tm
_chemical_formula_sum 'Y14 Er24 Tm2'
_cell_length_a 11.243
_cell_length_b 11.243
_cell_length_c 11.243
_cell_angle_alpha 90.00
_cell_angle_beta 90.00
_cell_angle_gamma 90.00
_space_group_name_H-M_alt 'I m -3 m'
_space_group_IT_number 229
_space_group_name_Hall '-I 4 2 3'
loop_
_atom_site_label
_atom_site_type_symbol
_atom_site_fract_x
_atom_site_fract_y
_atom_site_fract_z
Y1 Y 0.000 0.000 0.500
Y2 Y 0.250 0.250 0.250
Er1 Er 0.000 0.228 0.228
Tm1 Tm 0.000 0.000 0.000

***

# Y7Er3Tm2 GGA-PBE optimized geometry
# M_tot (μB per cell): 0.000
# Energy above the lowest structure with this stoichiometry (meV/atom): 0
# Formation enthalpy at 0 K (eV per atom): 0.0733
# Density of states at the Fermi level (states/eV per atom): 1.68
# Calculated volume (Å³ per cell): 382.6
data_Y7Er3Tm2
_chemical_formula_sum 'Y7 Er3 Tm2'
_cell_length_a 6.342
_cell_length_b 3.528
_cell_length_c 17.101
_cell_angle_alpha 90.00
_cell_angle_beta 90.15
_cell_angle_gamma 90.00
_space_group_name_H-M_alt 'P 1 2/m 1'
_space_group_IT_number 10
_space_group_name_Hall '-P 2y'
loop_
_atom_site_label
_atom_site_type_symbol
_atom_site_fract_x
_atom_site_fract_y
_atom_site_fract_z
Y1 Y 0.000 0.000 0.000
Y2 Y 0.176 0.500 0.169
Y3 Y 0.244 0.500 0.497
Y4 Y 0.324 0.000 0.834
Er1 Er 0.002 0.000 0.342
Er2 Er 0.500 0.500 0.000
Tm1 Tm 0.492 0.500 0.674

***

# Y6Er16Tm7 GGA-PBE optimized geometry
# M_tot (μB per cell): 20.240
# Formation enthalpy at 0 K (eV per atom): 0.2301
# Density of states at the Fermi level (states/eV per atom): 1.82
# Calculated volume (Å³ per cell): 3750.6
data_Y6Er16Tm7
_chemical_formula_sum 'Y24 Er64 Tm28'
_cell_length_a 15.537
_cell_length_b 15.537
_cell_length_c 15.537
_cell_angle_alpha 90.00
_cell_angle_beta 90.00
_cell_angle_gamma 90.00
_space_group_name_H-M_alt 'F m -3 m'
_space_group_IT_number 225
_space_group_name_Hall '-F 4 2 3'
loop_
_atom_site_label
_atom_site_type_symbol
_atom_site_fract_x
_atom_site_fract_y
_atom_site_fract_z
Y1 Y 0.000 0.000 0.214
Er1 Er 0.121 0.121 0.379
Er2 Er 0.154 0.154 0.154
Tm1 Tm 0.000 0.000 0.500
Tm2 Tm 0.000 0.250 0.250

***

# Y2ErTm7 GGA-PBE optimized geometry
# M_tot (μB per cell): 0.000
# Energy above the lowest structure with this stoichiometry (meV/atom): 34
# Formation enthalpy at 0 K (eV per atom): 0.1593
# Density of states at the Fermi level (states/eV per atom): 1.35
# Calculated volume (Å³ per cell): 628.7
data_Y2ErTm7
_chemical_formula_sum 'Y4 Er2 Tm14'
_cell_length_a 6.363
_cell_length_b 28.362
_cell_length_c 3.484
_cell_angle_alpha 90.00
_cell_angle_beta 90.00
_cell_angle_gamma 90.00
_space_group_name_H-M_alt 'C m m m'
_space_group_IT_number 65
_space_group_name_Hall '-C 2 2'
loop_
_atom_site_label
_atom_site_type_symbol
_atom_site_fract_x
_atom_site_fract_y
_atom_site_fract_z
Y1 Y 0.000 0.210 0.000
Er1 Er 0.000 0.500 0.500
Tm1 Tm 0.000 0.000 0.000
Tm2 Tm 0.000 0.316 0.500
Tm3 Tm 0.247 0.402 0.000

***

# YEr14Tm GGA-PBE optimized geometry
# M_tot (μB per cell): 0.000
# Formation enthalpy at 0 K (eV per atom): 0.0623
# Density of states at the Fermi level (states/eV per atom): 1.91
# Calculated volume (Å³ per cell): 986.0
data_YEr14Tm
_chemical_formula_sum 'Y2 Er28 Tm2'
_cell_length_a 10.999
_cell_length_b 8.092
_cell_length_c 11.078
_cell_angle_alpha 90.00
_cell_angle_beta 90.00
_cell_angle_gamma 90.00
_space_group_name_H-M_alt 'A m m 2'
_space_group_IT_number 38
_space_group_name_Hall 'A 2 -2'
loop_
_atom_site_label
_atom_site_type_symbol
_atom_site_fract_x
_atom_site_fract_y
_atom_site_fract_z
Y1 Y 0.000 0.000 0.000
Er1 Er 0.000 0.205 0.721
Er2 Er 0.232 0.000 0.210
Er3 Er 0.251 0.209 0.930
Er4 Er 0.268 0.000 0.651
Er5 Er 0.500 0.000 0.412
Er6 Er 0.500 0.000 0.860
Er7 Er 0.500 0.205 0.140
Tm1 Tm 0.000 0.000 0.449